# 1
{
  "formula": "ZrTa3B",
  "functional": "SCAN",
  "state": "PBEsol geometry",
  "lattice": [[4.7717, 0.0000, 0.0000], [0.0000, 4.7717, 0.0000], [0.0000, 0.0000, 4.7717]],
  "species": ["Ta", "Ta", "Ta", "Zr", "B"],
  "frac_coords": [[0.0000, 0.0000, 0.5000], [0.0000, 0.5000, 0.0000], [0.5000, 0.0000, 0.0000], [0.0000, 0.0000, 0.0000], [0.5000, 0.5000, 0.5000]],
  "delta_e_f_ev_per_atom": 2.91,
  "total_energy_ev_per_atom": -44.661,
  "space_group": "Pm-3m, No. 221",
  "vol_a3_per_atom": 21.730,
  "magnetic_moment_mub_per_fu": 0.00
}

---

# 2
{
  "formula": "TbB4",
  "functional": "SCAN",
  "state": "PBEsol geometry",
  "lattice": [[-0.0063, -1.7619, -3.5888], [6.9039, 1.3791, -0.6892], [1.5417, -6.1984, 3.0403]],
  "species": ["B", "B", "B", "B", "B", "B", "B", "B", "B", "B", "B", "B", "B", "B", "B", "B", "Tb", "Tb", "Tb", "Tb"],
  "frac_coords": [[0.7968, 0.0000, 0.0000], [0.5000, 0.0869, 0.4131], [0.5000, 0.9612, 0.8238], [0.5000, 0.4612, 0.6762], [0.5000, 0.3238, 0.4612], [0.5000, 0.1762, 0.9612], [0.5000, 0.5869, 0.0869], [0.2032, 0.5000, 0.5000], [0.5000, 0.4131, 0.9131], [0.2032, 0.0000, 0.0000], [0.5000, 0.9131, 0.5869], [0.5000, 0.8238, 0.0388], [0.5000, 0.6762, 0.5388], [0.5000, 0.0388, 0.1762], [0.7968, 0.5000, 0.5000], [0.5000, 0.5388, 0.3238], [0.0000, 0.1835, 0.6835], [0.0000, 0.3165, 0.1835], [0.0000, 0.6835, 0.8165], [0.0000, 0.8165, 0.3165]],
  "delta_e_f_ev_per_atom": -0.67,
  "total_energy_ev_per_atom": -15.963,
  "space_group": "P4/mbm, No. 127",
  "vol_a3_per_atom": 10.003,
  "magnetic_moment_mub_per_fu": 0.00
}

---

# 3
{
  "formula": "Tb3B7W",
  "functional": "SCAN",
  "state": "PBEsol geometry",
  "lattice": [[3.4434, 0.0000, 0.0000], [-1.7217, 7.9726, 0.0000], [0.0000, 0.0000, 9.4496]],
  "species": ["Tb", "Tb", "Tb", "Tb", "Tb", "Tb", "B", "B", "B", "B", "B", "B", "B", "B", "B", "B", "B", "B", "B", "B", "W", "W"],
  "frac_coords": [[0.2443, 0.4885, 0.7500], [0.8933, 0.7866, 0.9395], [0.1067, 0.2134, 0.4395], [0.1067, 0.2134, 0.0605], [0.7557, 0.5115, 0.2500], [0.8933, 0.7866, 0.5605], [0.5202, 0.0404, 0.5919], [0.7275, 0.4549, 0.5321], [0.4567, 0.9135, 0.7500], [0.7275, 0.4549, 0.9679], [0.6351, 0.2702, 0.6474], [0.6351, 0.2702, 0.8526], [0.3649, 0.7298, 0.3526], [0.5202, 0.0404, 0.9081], [0.5433, 0.0865, 0.2500], [0.4798, 0.9596, 0.4081], [0.2725, 0.5451, 0.4679], [0.2725, 0.5451, 0.0321], [0.3649, 0.7298, 0.1474], [0.4798, 0.9596, 0.0919], [0.9462, 0.8925, 0.2500], [0.0538, 0.1075, 0.7500]],
  "delta_e_f_ev_per_atom": -0.61,
  "total_energy_ev_per_atom": -24.426,
  "space_group": "Cmcm, No. 63",
  "vol_a3_per_atom": 11.792,
  "magnetic_moment_mub_per_fu": 0.00
}

---

# 4
{
  "formula": "Tc3BTe",
  "functional": "SCAN",
  "state": "PBEsol geometry",
  "lattice": [[-0.7926, -4.2729, -1.9289], [4.5197, -1.2161, 0.8367], [-1.2453, -1.6941, 4.2644]],
  "species": ["Tc", "Tc", "Tc", "Te", "B"],
  "frac_coords": [[0.0000, 0.5000, 0.0000], [0.5000, 0.0000, 0.0000], [0.0000, 0.0000, 0.5000], [0.0000, 0.0000, 0.0000], [0.5000, 0.5000, 0.5000]],
  "formation_energy_uncorrected_ev_per_atom": 2.7374,
  "total_energy_ev_per_atom": -27.235,
  "space_group": "Pm-3m, No. 221",
  "vol_a3_per_atom": 21.497,
  "magnetic_moment_mub_per_fu": 3.17
}

---

# 5
{
  "formula": "TlTcB3",
  "functional": "SCAN",
  "state": "PBEsol geometry",
  "lattice": [[-3.2139, 2.5758, 0.7902], [-1.6802, -2.8777, 2.5465], [2.1062, 1.6349, 3.2372]],
  "species": ["B", "B", "B", "Tc", "Tl"],
  "frac_coords": [[0.0000, 0.0000, 0.5000], [0.0000, 0.5000, 0.0000], [0.5000, 0.0000, 0.0000], [0.0000, 0.0000, 0.0000], [0.5000, 0.5000, 0.5000]],
  "delta_e_f_ev_per_atom": 1.03,
  "total_energy_ev_per_atom": -24.914,
  "space_group": "Pm-3m, No. 221",
  "vol_a3_per_atom": 14.753,
  "magnetic_moment_mub_per_fu": 0.00
}

---

# 6
{
  "formula": "TcB2W2",
  "functional": "SCAN",
  "state": "PBEsol geometry",
  "lattice": [[-1.8417, 0.5125, -2.4507], [-0.0902, -5.8480, -1.1553], [-4.8015, -0.6135, 3.4801]],
  "species": ["Tc", "Tc", "W", "W", "W", "W", "B", "B", "B", "B"],
  "frac_coords": [[0.0000, 0.0000, 0.0000], [0.0000, 0.5000, 0.5000], [0.5000, 0.1709, 0.6709], [0.5000, 0.3291, 0.1709], [0.5000, 0.6709, 0.8291], [0.5000, 0.8291, 0.3291], [0.0000, 0.8851, 0.6149], [0.0000, 0.6149, 0.1149], [0.0000, 0.3851, 0.8851], [0.0000, 0.1149, 0.3851]],
  "delta_e_f_ev_per_atom": -0.25,
  "total_energy_ev_per_atom": -38.106,
  "space_group": "P4/mbm, No. 127",
  "vol_a3_per_atom": 11.047,
  "magnetic_moment_mub_per_fu": 0.00
}

---

# 7
{
  "formula": "Tc3BW",
  "functional": "SCAN",
  "state": "PBEsol geometry",
  "lattice": [[4.6143, 0.0000, 0.0000], [0.0000, 4.6143, 0.0000], [0.0000, 0.0000, 4.6143]],
  "species": ["Tc", "Tc", "Tc", "B", "W"],
  "frac_coords": [[0.0000, 0.5000, 0.0000], [0.0000, 0.0000, 0.5000], [0.5000, 0.0000, 0.0000], [0.5000, 0.5000, 0.5000], [0.0000, 0.0000, 0.0000]],
  "delta_e_f_ev_per_atom": 2.66,
  "total_energy_ev_per_atom": -33.802,
  "space_group": "Pm-3m, No. 221",
  "vol_a3_per_atom": 19.649,
  "magnetic_moment_mub_per_fu": 2.97
}

---

# 8
{
  "formula": "TcB3W",
  "functional": "SCAN",
  "state": "PBEsol geometry",
  "lattice": [[-1.6371, -3.2154, -1.4330], [3.0501, -2.0847, 1.1930], [-1.7575, -0.6227, 3.4053]],
  "species": ["W", "B", "B", "B", "Tc"],
  "frac_coords": [[0.5000, 0.5000, 0.5000], [0.5000, 0.0000, 0.0000], [0.0000, 0.5000, 0.0000], [0.0000, 0.0000, 0.5000], [0.0000, 0.0000, 0.0000]],
  "delta_e_f_ev_per_atom": 1.54,
  "total_energy_ev_per_atom": -23.868,
  "space_group": "Pm-3m, No. 221",
  "vol_a3_per_atom": 11.703,
  "magnetic_moment_mub_per_fu": 0.00
}

---

# 9
{
  "formula": "Y2TcB2",
  "functional": "SCAN",
  "state": "PBEsol geometry",
  "lattice": [[3.0195, 0.0000, 0.0000], [0.0000, 3.0195, 0.0000], [-1.5097, -1.5097, 8.5608]],
  "species": ["Y", "Y", "Tc", "B", "B"],
  "frac_coords": [[0.6161, 0.6161, 0.2321], [0.3839, 0.3839, 0.7679], [0.0000, 0.0000, 0.0000], [0.7500, 0.2500, 0.5000], [0.2500, 0.7500, 0.5000]],
  "delta_e_f_ev_per_atom": 0.68,
  "total_energy_ev_per_atom": -20.438,
  "space_group": "I4/mmm, No. 139",
  "vol_a3_per_atom": 15.610,
  "magnetic_moment_mub_per_fu": 0.94
}

---

# 10
{
  "formula": "YZr2TcB",
  "functional": "SCAN",
  "state": "PBEsol geometry",
  "lattice": [[4.2865, 0.0000, 0.0000], [0.0000, 4.9666, 0.0000], [0.0000, 0.0000, 4.9666]],
  "species": ["Zr", "Zr", "Y", "Tc", "B"],
  "frac_coords": [[0.0000, 0.0000, 0.5000], [0.0000, 0.5000, 0.0000], [0.5000, 0.5000, 0.5000], [0.0000, 0.0000, 0.0000], [0.5000, 0.0000, 0.0000]],
  "delta_e_f_ev_per_atom": 0.51,
  "total_energy_ev_per_atom": -25.835,
  "space_group": "P4/mmm, No. 123",
  "vol_a3_per_atom": 21.147,
  "magnetic_moment_mub_per_fu": 0.00
}

---

# 11
{
  "formula": "ZnTc2B2",
  "functional": "SCAN",
  "state": "PBEsol geometry",
  "lattice": [[3.0572, 0.0000, 0.0000], [0.0000, 5.7624, 0.0000], [0.0000, 0.0000, 5.7624]],
  "species": ["Zn", "Zn", "Tc", "Tc", "Tc", "Tc", "B", "B", "B", "B"],
  "frac_coords": [[0.0000, 0.5000, 0.5000], [0.0000, 0.0000, 0.0000], [0.5000, 0.3282, 0.1718], [0.5000, 0.1718, 0.6718], [0.5000, 0.8282, 0.3282], [0.5000, 0.6718, 0.8282], [0.0000, 0.3858, 0.8858], [0.0000, 0.6142, 0.1142], [0.0000, 0.1142, 0.3858], [0.0000, 0.8858, 0.6142]],
  "delta_e_f_ev_per_atom": -0.31,
  "total_energy_ev_per_atom": -20.006,
  "space_group": "P4/mbm, No. 127",
  "vol_a3_per_atom": 10.152,
  "magnetic_moment_mub_per_fu": 0.00
}

---

# 12
{
  "formula": "Zn3TcB",
  "functional": "SCAN",
  "state": "PBEsol geometry",
  "lattice": [[-0.6019, 4.1184, 2.1971], [-4.3453, 0.3148, -1.7806], [-1.7051, -2.2562, 3.7621]],
  "species": ["B", "Zn", "Zn", "Zn", "Tc"],
  "frac_coords": [[0.5000, 0.5000, 0.5000], [0.5000, 0.0000, 0.0000], [0.0000, 0.5000, 0.0000], [0.0000, 0.0000, 0.5000], [0.0000, 0.0000, 0.0000]],
  "delta_e_f_ev_per_atom": 1.76,
  "total_energy_ev_per_atom": -14.845,
  "space_group": "Pm-3m, No. 221",
  "vol_a3_per_atom": 20.851,
  "magnetic_moment_mub_per_fu": 0.00
}

---

| no. | ρ (g/cm³) |
| --- | --- |
| 1 | 9.9 |
| 2 | 6.7 |
| 3 | 9.4 |
| 4 | 6.7 |
| 5 | 7.5 |
| 6 | 14.6 |
| 7 | 8.3 |
| 8 | 8.9 |
| 9 | 6.3 |
| 10 | 6.0 |
| 11 | 9.3 |
| 12 | 4.9 |